DFT (PBE) results for Ca6Pb2NCl after structural relaxation.

Summary:
The uncorrected formation energy is -9.56 eV/f.u. The value obtained for the total magnetization is 0.00 μB/cell. The calculation puts the energy at -39.2 eV/cell.

Lattice parameters (Å, degrees): 7.2562 7.2562 7.2562 60.00 60.00 60.00
Positions (direct):
1 Ca 0.2312 0.7688 0.7688
2 Ca 0.2312 0.7688 0.2312
3 Ca 0.7688 0.2312 0.7688
4 Ca 0.7688 0.7688 0.2312
5 Ca 0.2312 0.2312 0.7688
6 Ca 0.7688 0.2312 0.2312
7 Cl 0.5000 0.5000 0.5000
8 Pb 0.7500 0.7500 0.7500
9 Pb 0.2500 0.2500 0.2500
10 N 0.0000 0.0000 0.0000